Record 1
The following is a PBE calculation of a relaxed structure of YErTm5, from Alexandria via LeMat-Bulk.

```
data_YErTm5
_space_group_name_H-M_alt 'I m m a'
_space_group_IT_number 74
_space_group_name_Hall '-I 2b 2'
_cell_length_a 7.0206
_cell_length_b 11.2289
_cell_length_c 11.2119
_cell_angle_alpha 90.00
_cell_angle_beta 90.00
_cell_angle_gamma 90.00
loop_
_atom_site_label
_atom_site_type_symbol
_atom_site_fract_x
_atom_site_fract_y
_atom_site_fract_z
Y1 Y 0.2500 0.2500 0.2500
Er1 Er 0.0000 0.2500 0.5364
Tm1 Tm 0.0000 0.0340 0.7505
Tm2 Tm 0.0000 0.2500 0.9649
Tm3 Tm 0.2495 0.0000 0.5000
```

Properties
Polymorph energy (0 for the lowest one)   0 meV/atom
Density of states at the Fermi level   39.964 states/eV per cell
V   221.0 Å³/f.u.
Magnetization   0.000 μB/atom

***

Record 2
The following is a PBE calculation of a relaxed structure of MgGa2W2, from Alexandria via LeMat-Bulk.

```
data_MgGa2W2
_space_group_name_H-M_alt 'P 4/m b m'
_space_group_IT_number 127
_space_group_name_Hall '-P 4 2ab'
_cell_length_a 7.8802
_cell_length_b 7.8802
_cell_length_c 2.8061
_cell_angle_alpha 90.00
_cell_angle_beta 90.00
_cell_angle_gamma 90.00
loop_
_atom_site_label
_atom_site_type_symbol
_atom_site_fract_x
_atom_site_fract_y
_atom_site_fract_z
Mg1 Mg 0.0000 0.0000 0.0000
Ga1 Ga 0.1803 0.3197 0.5000
W1 W 0.1151 0.6151 0.0000
```

Properties
Polymorph energy (0 for the lowest one)   0 meV/atom
Density of states at the Fermi level   5.273 states/eV per cell
V   87.1 Å³/f.u.
Magnetization   0.000 μB/atom

***

Record 3
The following is a PBE calculation of a relaxed structure of BaPd, from Alexandria via LeMat-Bulk.

```
data_BaPd
_space_group_name_H-M_alt 'I 4/m m m'
_space_group_IT_number 139
_space_group_name_Hall '-I 4 2'
_cell_length_a 11.5807
_cell_length_b 11.5807
_cell_length_c 4.5123
_cell_angle_alpha 90.00
_cell_angle_beta 90.00
_cell_angle_gamma 90.00
loop_
_atom_site_label
_atom_site_type_symbol
_atom_site_fract_x
_atom_site_fract_y
_atom_site_fract_z
Ba1 Ba 0.0000 0.2591 0.0000
Pd1 Pd 0.2065 0.2065 0.5000
```

Properties
Density of states at the Fermi level   17.162 states/eV per cell
Total energy   -62.55 eV for the cell shown
V   75.6 Å³/f.u.
Magnetization   0.000 μB/atom

***

Record 4
The following is a PBE calculation of a relaxed structure of NdSc6, from Alexandria via LeMat-Bulk.

```
data_NdSc6
_space_group_name_H-M_alt 'I m -3 m'
_space_group_IT_number 229
_space_group_name_Hall '-I 4 2 3'
_cell_length_a 7.3490
_cell_length_b 7.3490
_cell_length_c 7.3490
_cell_angle_alpha 90.00
_cell_angle_beta 90.00
_cell_angle_gamma 90.00
loop_
_atom_site_label
_atom_site_type_symbol
_atom_site_fract_x
_atom_site_fract_y
_atom_site_fract_z
Nd1 Nd 0.0000 0.0000 0.0000
Sc1 Sc 0.0000 0.2500 0.5000
```

Properties
Polymorph energy (0 for the lowest one)   984 meV/atom
Density of states at the Fermi level   14.541 states/eV per cell
V   198.4 Å³/f.u.
Magnetization   0.000 μB/atom

***

Record 5
The following is a PBE calculation of a relaxed structure of ZnHgBr2, from Alexandria via LeMat-Bulk.

```
data_ZnHgBr2
_space_group_name_H-M_alt 'P 1'
_space_group_IT_number 1
_cell_length_a 6.4001
_cell_length_b 6.9920
_cell_length_c 8.0865
_cell_angle_alpha 89.90
_cell_angle_beta 66.77
_cell_angle_gamma 89.16
loop_
_space_group_symop_operation_xyz
'x,y,z'
loop_
_atom_site_label
_atom_site_type_symbol
_atom_site_fract_x
_atom_site_fract_y
_atom_site_fract_z
Zn1 Zn 0.0000 0.0000 0.0000
Zn2 Zn 0.4999 0.0002 0.0003
Hg1 Hg 0.4958 0.3641 0.4986
Hg2 Hg 0.9977 0.6385 0.4996
Br1 Br 0.1553 0.1822 0.1838
Br2 Br 0.3447 0.8187 0.8159
Br3 Br 0.6686 0.8048 0.1694
Br4 Br 0.8311 0.1958 0.8307
```

Properties
E_form (uncorrected)   -2.5 eV/f.u.
Polymorph energy (0 for the lowest one)   1 meV/atom
Density of states at the Fermi level   0.000 states/eV per cell
V   166.2 Å³/f.u.
Magnetization   0.000 μB/atom

***

Record 6
The following is a PBE calculation of a relaxed structure of TbScBi, from Alexandria via LeMat-Bulk.

```
data_TbScBi
_space_group_name_H-M_alt 'I m m m'
_space_group_IT_number 71
_space_group_name_Hall '-I 2 2'
_cell_length_a 3.4257
_cell_length_b 5.8542
_cell_length_c 17.2513
_cell_angle_alpha 90.00
_cell_angle_beta 90.00
_cell_angle_gamma 90.00
loop_
_atom_site_label
_atom_site_type_symbol
_atom_site_fract_x
_atom_site_fract_y
_atom_site_fract_z
Tb1 Tb 0.0000 0.0000 0.1603
Sc1 Sc 0.0000 0.2610 0.5000
Bi1 Bi 0.0000 0.0000 0.3451
```

Properties
Density of states at the Fermi level   10.758 states/eV per cell
Total energy   -62.82 eV for the cell shown
V   86.5 Å³/f.u.
Magnetization   0.160 μB/atom

***

Record 7
The following is a PBE calculation of a relaxed structure of PaTiMn2, from Alexandria via LeMat-Bulk.

```
data_PaTiMn2
_space_group_name_H-M_alt 'P 4/m m m'
_space_group_IT_number 123
_space_group_name_Hall '-P 4 2'
_cell_length_a 4.4704
_cell_length_b 4.4704
_cell_length_c 3.1562
_cell_angle_alpha 90.00
_cell_angle_beta 90.00
_cell_angle_gamma 90.00
loop_
_atom_site_label
_atom_site_type_symbol
_atom_site_fract_x
_atom_site_fract_y
_atom_site_fract_z
Pa1 Pa 0.0000 0.0000 0.0000
Ti1 Ti 0.5000 0.5000 0.0000
Mn1 Mn 0.0000 0.5000 0.5000
```

Properties
Polymorph energy (0 for the lowest one)   17 meV/atom
Density of states at the Fermi level   5.823 states/eV per cell
V   63.1 Å³/f.u.
Magnetization   0.058 μB/atom

***

Record 8
The following is a PBE calculation of a relaxed structure of Cs2MnPbSe4, from Alexandria via LeMat-Bulk.

```
data_Cs2MnPbSe4
_space_group_name_H-M_alt 'F d d d'
_space_group_IT_number 70
_cell_length_a 7.1568
_cell_length_b 13.4805
_cell_length_c 25.4144
_cell_angle_alpha 90.00
_cell_angle_beta 90.00
_cell_angle_gamma 90.00
loop_
_space_group_symop_operation_xyz
'x,y,z'
'-x,-y,-z'
'-x+1/4,-y+1/4,z'
'x+1/4,y+1/4,-z'
'x,-y+1/4,-z+1/4'
'-x,y+1/4,z+1/4'
'-x+1/4,y,-z+1/4'
'x+1/4,-y,z+1/4'
'x,y+1/2,z+1/2'
'-x,-y+1/2,-z+1/2'
'-x+1/4,-y+3/4,z+1/2'
'x+1/4,y+3/4,-z+1/2'
'x,-y+3/4,-z+3/4'
'-x,y+3/4,z+3/4'
'-x+1/4,y+1/2,-z+3/4'
'x+1/4,-y+1/2,z+3/4'
'x+1/2,y,z+1/2'
'-x+1/2,-y,-z+1/2'
'-x+3/4,-y+1/4,z+1/2'
'x+3/4,y+1/4,-z+1/2'
'x+1/2,-y+1/4,-z+3/4'
'-x+1/2,y+1/4,z+3/4'
'-x+3/4,y,-z+3/4'
'x+3/4,-y,z+3/4'
'x+1/2,y+1/2,z'
'-x+1/2,-y+1/2,-z'
'-x+3/4,-y+3/4,z'
'x+3/4,y+3/4,-z'
'x+1/2,-y+3/4,-z+1/4'
'-x+1/2,y+3/4,z+1/4'
'-x+3/4,y+1/2,-z+1/4'
'x+3/4,-y+1/2,z+1/4'
loop_
_atom_site_label
_atom_site_type_symbol
_atom_site_fract_x
_atom_site_fract_y
_atom_site_fract_z
Cs1 Cs 0.1250 0.1250 0.3059
Mn1 Mn 0.1250 0.1250 0.6250
Pb1 Pb 0.1250 0.1250 0.1250
Se1 Se 0.0824 0.2914 0.8164
```

Properties
E_form (uncorrected)   -5.6 eV/f.u.
Density of states at the Fermi level   5.469 states/eV per cell
V   306.5 Å³/f.u.
Magnetization   0.375 μB/atom

***

Record 9
The following is a PBE calculation of a relaxed structure of PrDyCdTc, from Alexandria via LeMat-Bulk.

```
data_PrDyCdTc
_space_group_name_H-M_alt 'F -4 3 m'
_space_group_IT_number 216
_space_group_name_Hall 'F -4 2 3'
_cell_length_a 7.2685
_cell_length_b 7.2685
_cell_length_c 7.2685
_cell_angle_alpha 90.00
_cell_angle_beta 90.00
_cell_angle_gamma 90.00
loop_
_atom_site_label
_atom_site_type_symbol
_atom_site_fract_x
_atom_site_fract_y
_atom_site_fract_z
Pr1 Pr 0.0000 0.0000 0.0000
Dy1 Dy 0.0000 0.0000 0.5000
Cd1 Cd 0.2500 0.2500 0.7500
Tc1 Tc 0.2500 0.2500 0.2500
```

Properties
Density of states at the Fermi level   8.668 states/eV per cell
Total energy   -82.84 eV for the cell shown
V   96.0 Å³/f.u.
Magnetization   0.000 μB/atom

***

Record 10
The following is a PBE calculation of a relaxed structure of Pr2Dy2Tl3, from Alexandria via LeMat-Bulk.

```
data_Pr2Dy2Tl3
_space_group_name_H-M_alt 'P -1'
_space_group_IT_number 2
_cell_length_a 3.8134
_cell_length_b 6.4692
_cell_length_c 8.7985
_cell_angle_alpha 86.84
_cell_angle_beta 89.96
_cell_angle_gamma 72.89
loop_
_space_group_symop_operation_xyz
'x,y,z'
'-x,-y,-z'
loop_
_atom_site_label
_atom_site_type_symbol
_atom_site_fract_x
_atom_site_fract_y
_atom_site_fract_z
Pr1 Pr 0.2093 0.0823 0.1601
Dy1 Dy 0.0602 0.3800 0.7116
Tl1 Tl 0.3522 0.7955 0.5437
Tl2 Tl 0.5000 0.5000 0.0000
```

Properties
Polymorph energy (0 for the lowest one)   0 meV/atom
Density of states at the Fermi level   5.937 states/eV per cell
V   207.1 Å³/f.u.
Magnetization   0.001 μB/atom

***

Q: Which of these has the highest V?
A: Cs2MnPbSe4